Entry w
Compound: Tb2Ge5Pt3
Source: Alexandria
Functional: PBE
Structure: relaxed

a b c (Å): 8.428 8.428 8.428
angles (deg): 104.40 91.72 136.16
Atoms (fractional coordinates):
1 Tb 0.133 0.225 0.358
2 Tb 0.367 0.725 0.092
3 Tb 0.633 0.275 0.908
4 Tb 0.867 0.775 0.642
5 Ge 0.023 0.750 0.273
6 Ge 0.104 0.656 0.760
7 Ge 0.250 0.250 0.000
8 Ge 0.396 0.156 0.552
9 Ge 0.477 0.750 0.727
10 Ge 0.523 0.250 0.273
11 Ge 0.604 0.844 0.448
12 Ge 0.750 0.750 0.000
13 Ge 0.896 0.344 0.240
14 Ge 0.977 0.250 0.727
15 Pt 0.140 0.887 0.027
16 Pt 0.250 0.750 0.500
17 Pt 0.360 0.387 0.747
18 Pt 0.640 0.613 0.253
19 Pt 0.750 0.250 0.500
20 Pt 0.860 0.113 0.973

Computed properties:
Density   11022 kg/m³
Magnetic moment   0.0 μB/cell

Entry x
Compound: Tb2Ge5Pt3
Source: Alexandria
Functional: PBE
Structure: relaxed

a b c (Å): 12.449 12.449 7.038
angles (deg): 90.00 90.00 159.90
Atoms (fractional coordinates):
1 Tb 0.021 0.979 0.500
2 Tb 0.326 0.674 0.504
3 Tb 0.674 0.326 0.004
4 Tb 0.979 0.021 0.000
5 Ge 0.102 0.898 0.855
6 Ge 0.204 0.796 0.320
7 Ge 0.211 0.789 0.735
8 Ge 0.381 0.619 0.977
9 Ge 0.452 0.548 0.661
10 Ge 0.548 0.452 0.161
11 Ge 0.619 0.381 0.477
12 Ge 0.789 0.211 0.235
13 Ge 0.796 0.204 0.820
14 Ge 0.898 0.102 0.355
15 Pt 0.105 0.895 0.226
16 Pt 0.277 0.723 0.040
17 Pt 0.445 0.555 0.282
18 Pt 0.555 0.445 0.782
19 Pt 0.723 0.277 0.540
20 Pt 0.895 0.105 0.726

Computed properties:
Density   11217 kg/m³
Magnetic moment   0.0 μB/cell

Which is the most stable structure? entry x is the most stable.

Entry w
Compound: TbGe2Pt7
Source: Alexandria
Functional: PBE
Structure: relaxed

a b c (Å): 7.212 7.212 4.448
angles (deg): 90.00 90.00 119.19
Atoms (fractional coordinates):
1 Tb 0.000 0.000 0.000
2 Ge 0.303 0.697 0.500
3 Ge 0.697 0.303 0.500
4 Pt 0.073 0.302 0.500
5 Pt 0.224 0.776 0.000
6 Pt 0.302 0.073 0.500
7 Pt 0.500 0.500 0.500
8 Pt 0.698 0.927 0.500
9 Pt 0.776 0.224 0.000
10 Pt 0.927 0.698 0.500

Computed properties:
Density   13728 kg/m³
Magnetic moment   0.0 μB/cell

Entry x
Compound: TbGe2Pt7
Source: Alexandria
Functional: PBE
Structure: relaxed

a b c (Å): 10.701 10.701 10.701
angles (deg): 157.92 157.92 31.43
Atoms (fractional coordinates):
1 Tb 0.000 0.000 0.000
2 Ge 0.325 0.325 0.000
3 Ge 0.675 0.675 0.000
4 Pt 0.103 0.603 0.500
5 Pt 0.250 0.750 0.500
6 Pt 0.397 0.897 0.500
7 Pt 0.500 0.500 0.000
8 Pt 0.603 0.103 0.500
9 Pt 0.750 0.250 0.500
10 Pt 0.897 0.397 0.500

Computed properties:
Density   16026 kg/m³
Magnetic moment   0.0 μB/cell

Which is the most stable structure? entry x is the most stable.

Entry w
Compound: TbGePt3
Source: Alexandria
Functional: PBE
Structure: relaxed

a b c (Å): 5.636 7.051 5.091
angles (deg): 90.00 90.00 90.00
Atoms (fractional coordinates):
1 Tb 0.000 0.000 0.000
2 Tb 0.500 0.500 0.000
3 Ge 0.000 0.500 0.500
4 Ge 0.500 0.000 0.500
5 Pt 0.000 0.500 0.000
6 Pt 0.124 0.172 0.500
7 Pt 0.376 0.672 0.500
8 Pt 0.500 0.000 0.000
9 Pt 0.624 0.328 0.500
10 Pt 0.876 0.828 0.500

Computed properties:
Density   13409 kg/m³
Magnetic moment   0.0 μB/cell

Entry x
Compound: TbGePt3
Source: Alexandria
Functional: PBE
Structure: relaxed

a b c (Å): 5.725 4.589 7.300
angles (deg): 90.00 90.00 90.00
Atoms (fractional coordinates):
1 Tb 0.000 0.024 0.000
2 Tb 0.500 0.976 0.500
3 Ge 0.000 0.663 0.539
4 Ge 0.500 0.337 0.039
5 Pt 0.000 0.139 0.407
6 Pt 0.242 0.611 0.235
7 Pt 0.258 0.389 0.735
8 Pt 0.500 0.861 0.907
9 Pt 0.742 0.389 0.735
10 Pt 0.758 0.611 0.235

Computed properties:
Density   14146 kg/m³
Magnetic moment   0.0 μB/cell

Which is the most stable structure? entry x is the most stable.

Entry w
Compound: TbYGePt
Source: Alexandria
Functional: PBE
Structure: relaxed

a b c (Å): 4.292 5.786 5.786
angles (deg): 39.79 90.00 90.00
Atoms (fractional coordinates):
1 Tb 0.000 0.000 0.000
2 Y 0.500 0.721 0.721
3 Ge 0.500 0.441 0.441
4 Pt 0.000 0.276 0.276

Computed properties:
Density   9309 kg/m³
Magnetic moment   0.0 μB/cell

Entry x
Compound: TbYGePt
Source: Alexandria
Functional: PBE
Structure: relaxed

a b c (Å): 5.025 5.025 5.025
angles (deg): 60.00 60.00 60.00
Atoms (fractional coordinates):
1 Tb 0.000 0.000 0.000
2 Y 0.500 0.500 0.500
3 Ge 0.250 0.250 0.250
4 Pt 0.750 0.750 0.750

Computed properties:
Density   9544 kg/m³
Magnetic moment   0.0 μB/cell

Which is the most stable structure? entry w is the most stable.

Entry w
Compound: TcGePt3
Source: Alexandria
Functional: PBE
Structure: relaxed

a b c (Å): 4.640 4.640 4.640
angles (deg): 90.00 90.00 90.00
Atoms (fractional coordinates):
1 Tc 0.000 0.000 0.000
2 Ge 0.500 0.500 0.500
3 Pt 0.000 0.500 0.500
4 Pt 0.500 0.000 0.500
5 Pt 0.500 0.500 0.000

Computed properties:
Density   12564 kg/m³
Magnetic moment   4.4 μB/cell

Entry x
Compound: TcGePt3
Source: Alexandria
Functional: PBE
Structure: relaxed

a b c (Å): 4.814 4.814 4.814
angles (deg): 90.00 90.00 90.00
Atoms (fractional coordinates):
1 Tc 0.000 0.000 0.000
2 Ge 0.500 0.500 0.500
3 Pt 0.000 0.000 0.500
4 Pt 0.000 0.500 0.000
5 Pt 0.500 0.000 0.000

Computed properties:
Density   11250 kg/m³
Magnetic moment   0.0 μB/cell

Which is the most stable structure? entry w is the most stable.

Entry w
Compound: TcGe3Pt
Source: Alexandria
Functional: PBE
Structure: relaxed

a b c (Å): 4.741 4.741 4.741
angles (deg): 90.00 90.00 90.00
Atoms (fractional coordinates):
1 Tc 0.000 0.000 0.000
2 Ge 0.000 0.000 0.500
3 Ge 0.000 0.500 0.000
4 Ge 0.500 0.000 0.000
5 Pt 0.500 0.500 0.500

Computed properties:
Density   7965 kg/m³
Magnetic moment   0.0 μB/cell

Entry x
Compound: TcGe3Pt
Source: Alexandria
Functional: PBE
Structure: relaxed

a b c (Å): 6.746 3.209 8.003
angles (deg): 90.00 101.77 90.00
Atoms (fractional coordinates):
1 Tc 0.126 0.250 0.130
2 Tc 0.874 0.750 0.870
3 Ge 0.011 0.750 0.343
4 Ge 0.260 0.750 0.939
5 Ge 0.494 0.750 0.734
6 Ge 0.506 0.250 0.266
7 Ge 0.740 0.250 0.061
8 Ge 0.989 0.250 0.657
9 Pt 0.293 0.250 0.513
10 Pt 0.707 0.750 0.487

Computed properties:
Density   10008 kg/m³
Magnetic moment   0.0 μB/cell

Which is the most stable structure? entry x is the most stable.

Entry w
Compound: Ge2TePt2
Source: Alexandria
Functional: PBE
Structure: relaxed

a b c (Å): 7.644 7.644 3.225
angles (deg): 90.00 90.00 90.00
Atoms (fractional coordinates):
1 Ge 0.145 0.355 0.000
2 Ge 0.355 0.855 0.000
3 Ge 0.645 0.145 0.000
4 Ge 0.855 0.645 0.000
5 Te 0.000 0.000 0.500
6 Te 0.500 0.500 0.500
7 Pt 0.136 0.636 0.500
8 Pt 0.364 0.136 0.500
9 Pt 0.636 0.864 0.500
10 Pt 0.864 0.364 0.500

Computed properties:
Density   11688 kg/m³
Magnetic moment   0.0 μB/cell

Entry x
Compound: Ge2TePt2
Source: Alexandria
Functional: PBE
Structure: relaxed

a b c (Å): 6.581 6.581 6.581
angles (deg): 143.92 143.92 51.94
Atoms (fractional coordinates):
1 Ge 0.250 0.750 0.500
2 Ge 0.750 0.250 0.500
3 Te 0.000 0.000 0.000
4 Pt 0.382 0.382 0.000
5 Pt 0.618 0.618 0.000

Computed properties:
Density   11202 kg/m³
Magnetic moment   0.0 μB/cell

Which is the most stable structure? entry x is the most stable.

Entry w
Compound: GeTe3Pt
Source: Alexandria
Functional: PBE
Structure: relaxed

a b c (Å): 5.313 5.313 5.313
angles (deg): 90.00 90.00 90.00
Atoms (fractional coordinates):
1 Ge 0.000 0.000 0.000
2 Te 0.000 0.500 0.500
3 Te 0.500 0.000 0.500
4 Te 0.500 0.500 0.000
5 Pt 0.500 0.500 0.500

Computed properties:
Density   7204 kg/m³
Magnetic moment   0.0 μB/cell

Entry x
Compound: GeTe3Pt
Source: Alexandria
Functional: PBE
Structure: relaxed

a b c (Å): 5.279 5.279 5.279
angles (deg): 90.00 90.00 90.00
Atoms (fractional coordinates):
1 Ge 0.000 0.000 0.000
2 Te 0.000 0.000 0.500
3 Te 0.000 0.500 0.000
4 Te 0.500 0.000 0.000
5 Pt 0.500 0.500 0.500

Computed properties:
Density   7345 kg/m³
Magnetic moment   0.0 μB/cell

Which is the most stable structure? entry w is the most stable.

Entry w
Compound: Th2GePt6
Source: Alexandria
Functional: PBE
Structure: relaxed

a b c (Å): 5.785 5.785 5.966
angles (deg): 90.00 90.00 120.00
Atoms (fractional coordinates):
1 Th 0.333 0.667 0.171
2 Th 0.667 0.333 0.829
3 Ge 0.000 0.000 0.000
4 Pt 0.174 0.348 0.691
5 Pt 0.174 0.826 0.691
6 Pt 0.348 0.174 0.309
7 Pt 0.652 0.826 0.691
8 Pt 0.826 0.174 0.309
9 Pt 0.826 0.652 0.309

Computed properties:
Density   16394 kg/m³
Magnetic moment   0.0 μB/cell

Entry x
Compound: Th2GePt6
Source: Alexandria
Functional: PBE
Structure: relaxed

a b c (Å): 5.707 5.707 6.302
angles (deg): 101.86 101.86 60.59
Atoms (fractional coordinates):
1 Th 0.143 0.143 0.345
2 Th 0.857 0.857 0.655
3 Ge 0.500 0.500 0.500
4 Pt 0.112 0.624 0.185
5 Pt 0.373 0.373 0.799
6 Pt 0.376 0.888 0.815
7 Pt 0.624 0.112 0.185
8 Pt 0.627 0.627 0.201
9 Pt 0.888 0.376 0.815

Computed properties:
Density   16320 kg/m³
Magnetic moment   0.0 μB/cell

Which is the most stable structure? entry w is the most stable.

Entry w
Compound: ThGePt3
Source: Alexandria
Functional: PBE
Structure: relaxed

a b c (Å): 6.400 6.400 6.400
angles (deg): 142.51 142.51 54.06
Atoms (fractional coordinates):
1 Th 0.000 0.000 0.000
2 Ge 0.364 0.364 0.000
3 Pt 0.241 0.741 0.500
4 Pt 0.575 0.575 0.000
5 Pt 0.741 0.241 0.500

Computed properties:
Density   15324 kg/m³
Magnetic moment   0.0 μB/cell

Entry x
Compound: ThGePt3
Source: Alexandria
Functional: PBE
Structure: relaxed

a b c (Å): 6.380 6.380 5.603
angles (deg): 90.00 90.00 120.00
Atoms (fractional coordinates):
1 Th 0.333 0.667 0.250
2 Th 0.667 0.333 0.750
3 Ge 0.000 0.000 0.000
4 Ge 0.000 0.000 0.500
5 Pt 0.192 0.384 0.750
6 Pt 0.192 0.808 0.750
7 Pt 0.384 0.192 0.250
8 Pt 0.616 0.808 0.750
9 Pt 0.808 0.192 0.250
10 Pt 0.808 0.616 0.250

Computed properties:
Density   14963 kg/m³
Magnetic moment   0.0 μB/cell

Which is the most stable structure? entry w is the most stable.

Entry w
Compound: TlGe2Pt2
Source: Alexandria
Functional: PBE
Structure: relaxed

a b c (Å): 7.317 7.317 7.317
angles (deg): 147.94 147.94 45.97
Atoms (fractional coordinates):
1 Tl 0.000 0.000 0.000
2 Ge 0.365 0.365 0.000
3 Ge 0.635 0.635 0.000
4 Pt 0.250 0.750 0.500
5 Pt 0.750 0.250 0.500

Computed properties:
Density   11170 kg/m³
Magnetic moment   0.0 μB/cell

Entry x
Compound: TlGe2Pt2
Source: Alexandria
Functional: PBE
Structure: relaxed

a b c (Å): 8.136 8.136 2.857
angles (deg): 90.00 90.00 90.00
Atoms (fractional coordinates):
1 Tl 0.000 0.000 0.000
2 Tl 0.500 0.500 0.000
3 Ge 0.130 0.370 0.000
4 Ge 0.370 0.870 0.000
5 Ge 0.630 0.130 0.000
6 Ge 0.870 0.630 0.000
7 Pt 0.157 0.657 0.500
8 Pt 0.343 0.157 0.500
9 Pt 0.657 0.843 0.500
10 Pt 0.843 0.343 0.500

Computed properties:
Density   12994 kg/m³
Magnetic moment   0.0 μB/cell

Entry y
Compound: TlGe2Pt2
Source: Alexandria
Functional: PBE
Structure: relaxed

a b c (Å): 7.871 7.871 3.046
angles (deg): 90.00 90.00 90.00
Atoms (fractional coordinates):
1 Tl 0.000 0.000 0.000
2 Tl 0.500 0.500 0.000
3 Ge 0.147 0.353 0.500
4 Ge 0.353 0.853 0.500
5 Ge 0.647 0.147 0.500
6 Ge 0.853 0.647 0.500
7 Pt 0.135 0.635 0.000
8 Pt 0.365 0.135 0.000
9 Pt 0.635 0.865 0.000
10 Pt 0.865 0.365 0.000

Computed properties:
Density   13020 kg/m³
Magnetic moment   0.0 μB/cell

Which is the most stable structure? entry w is the most stable.